VASP calculation (PBE) on a relaxed CsRbTeN2 crystal.

Results
- Crystal system: tetragonal
- Uncorrected formation energy: 1.744 eV/atom
- Relative energy among the computed polymorphs: 0.342 eV per atom

```
CsRbTeN2
1.0
4.975 0.000 0.000
0.000 4.975 0.000
0.000 0.000 6.381
Cs Te Rb N
1 1 1 2
direct
0.000 0.000 0.000
0.000 0.000 0.500
0.500 0.500 0.500
0.000 0.500 0.000
0.500 0.000 0.000
```

=====

VASP calculation (PBE) on a relaxed CsRbTeN2 crystal.

Results
- Crystal system: tetragonal
- Uncorrected formation energy: 1.402 eV/atom
- Relative energy among the computed polymorphs: 0.000 eV per atom

```
CsRbTeN2
1.0
-1.890 5.208 1.583
-1.888 -2.199 4.980
6.330 1.382 3.009
Cs Te Rb N
1 1 1 2
direct
0.500 0.500 0.500
0.000 0.000 0.500
0.000 0.000 0.000
0.000 0.500 0.000
0.500 0.000 0.000
```